[1]
# AlTeI2N

A relaxed structure of AlTeI2N (PBE, Alexandria via LeMat-Bulk).

Cell lengths 5.9190, 5.9190, 3.5640 Å; angles 90.00, 90.00, 90.00 degrees
Last column: nearest neighbours and their distance in Å.
Element x y z (fractional)
1 Al 0.0000 0.0000 0.0000  2 N 1.78
2 Te 0.5000 0.5000 0.5000  8 I 3.45, 2 Te 3.56
3 I 0.0000 0.5000 0.0000  2 Al 2.96
4 I 0.5000 0.0000 0.0000  2 Al 2.96
5 N 0.0000 0.0000 0.5000  2 Al 1.78

## Properties
**Formation energy (no corrections)**: 0.312 eV per atom
**E above lowest polymorph**: 0 meV/atom
**SG**: P4/mmm (123)

---

[2]
# Ni5Ge3I12

A relaxed structure of Ni5Ge3I12 (PBE, Alexandria via LeMat-Bulk).

Cell lengths 14.6237, 14.6237, 14.6237 Å; angles 109.47, 109.47, 109.47 degrees
Last column: nearest neighbours and their distance in Å.
Element x y z (fractional)
1 Ni 0.0000 0.0000 0.0000  6 I 2.75
2 Ni 0.0000 0.0000 0.5000  6 I 2.75
3 Ni 0.0000 0.5000 0.0000  6 I 2.75
4 Ni 0.0000 0.5000 0.5000  6 I 2.75
5 Ni 0.1250 0.7500 0.8750  4 I 2.52
6 Ni 0.1250 0.8750 0.2500  4 I 2.52
7 Ni 0.2500 0.1250 0.8750  4 I 2.52
8 Ni 0.2500 0.6250 0.3750  4 I 2.52
9 Ni 0.3750 0.2500 0.6250  4 I 2.52
10 Ni 0.3750 0.6250 0.7500  4 I 2.52
11 Ni 0.5000 0.0000 0.0000  6 I 2.75
12 Ni 0.5000 0.0000 0.5000  6 I 2.75
13 Ni 0.5000 0.5000 0.0000  6 I 2.75
14 Ni 0.5000 0.5000 0.5000  6 I 2.75
15 Ni 0.6250 0.3750 0.2500  4 I 2.52
16 Ni 0.6250 0.7500 0.3750  4 I 2.52
17 Ni 0.7500 0.3750 0.6250  4 I 2.52
18 Ni 0.7500 0.8750 0.1250  4 I 2.52
19 Ni 0.8750 0.1250 0.7500  4 I 2.52
20 Ni 0.8750 0.2500 0.1250  4 I 2.52
21 Ge 0.1250 0.2500 0.3750  8 I 3.25-3.33
22 Ge 0.1250 0.3750 0.7500  8 I 3.25-3.33
23 Ge 0.2500 0.3750 0.1250  8 I 3.25-3.33
24 Ge 0.2500 0.8750 0.6250  8 I 3.25-3.33
25 Ge 0.3750 0.1250 0.2500  8 I 3.25-3.33
26 Ge 0.3750 0.7500 0.1250  8 I 3.25-3.33
27 Ge 0.6250 0.2500 0.8750  8 I 3.25-3.33
28 Ge 0.6250 0.8750 0.7500  8 I 3.25-3.33
29 Ge 0.7500 0.1250 0.3750  8 I 3.25-3.33
30 Ge 0.7500 0.6250 0.8750  8 I 3.25-3.33
31 Ge 0.8750 0.6250 0.2500  8 I 3.25-3.33
32 Ge 0.8750 0.7500 0.6250  8 I 3.25-3.33
33 I 0.0270 0.2067 0.1203  2 Ni 2.52-2.75
34 I 0.0270 0.3204 0.9068  2 Ni 2.52-2.75
35 I 0.0864 0.7067 0.6796  2 Ni 2.52-2.75
36 I 0.0864 0.8797 0.4068  2 Ni 2.52-2.75
37 I 0.0932 0.6203 0.4136  2 Ni 2.52-2.75
38 I 0.0932 0.9730 0.6796  2 Ni 2.52-2.75
39 I 0.1203 0.0270 0.2067  2 Ni 2.52-2.75
40 I 0.1203 0.5932 0.9136  2 Ni 2.52-2.75
41 I 0.1796 0.2067 0.5864  2 Ni 2.52-2.75
42 I 0.1796 0.4730 0.5932  2 Ni 2.52-2.75
43 I 0.2067 0.1203 0.0270  2 Ni 2.52-2.75
44 I 0.2067 0.5864 0.1796  2 Ni 2.52-2.75
45 I 0.2933 0.3204 0.9136  2 Ni 2.52-2.75
46 I 0.2933 0.4730 0.3797  2 Ni 2.52-2.75
47 I 0.3204 0.9068 0.0270  2 Ni 2.52-2.75
48 I 0.3204 0.9136 0.2933  2 Ni 2.52-2.75
49 I 0.3797 0.2933 0.4730  2 Ni 2.52-2.75
50 I 0.3797 0.5864 0.9068  2 Ni 2.52-2.75
51 I 0.4068 0.0864 0.8797  2 Ni 2.52-2.75
52 I 0.4068 0.8204 0.5270  2 Ni 2.52-2.75
53 I 0.4136 0.0932 0.6203  2 Ni 2.52-2.75
54 I 0.4136 0.8204 0.7933  2 Ni 2.52-2.75
55 I 0.4730 0.3797 0.2933  2 Ni 2.52-2.75
56 I 0.4730 0.5932 0.1796  2 Ni 2.52-2.75
57 I 0.5270 0.4068 0.8204  2 Ni 2.52-2.75
58 I 0.5270 0.6203 0.7067  2 Ni 2.52-2.75
59 I 0.5864 0.1796 0.2067  2 Ni 2.52-2.75
60 I 0.5864 0.9068 0.3797  2 Ni 2.52-2.75
61 I 0.5932 0.1796 0.4730  2 Ni 2.52-2.75
62 I 0.5932 0.9136 0.1203  2 Ni 2.52-2.75
63 I 0.6203 0.4136 0.0932  2 Ni 2.52-2.75
64 I 0.6203 0.7067 0.5270  2 Ni 2.52-2.75
65 I 0.6796 0.0864 0.7067  2 Ni 2.52-2.75
66 I 0.6796 0.0932 0.9730  2 Ni 2.52-2.75
67 I 0.7067 0.5270 0.6203  2 Ni 2.52-2.75
68 I 0.7067 0.6796 0.0864  2 Ni 2.52-2.75
69 I 0.7933 0.4136 0.8204  2 Ni 2.52-2.75
70 I 0.7933 0.8797 0.9730  2 Ni 2.52-2.75
71 I 0.8204 0.5270 0.4068  2 Ni 2.52-2.75
72 I 0.8204 0.7933 0.4136  2 Ni 2.52-2.75
73 I 0.8797 0.4068 0.0864  2 Ni 2.52-2.75
74 I 0.8797 0.9730 0.7933  2 Ni 2.52-2.75
75 I 0.9068 0.0270 0.3204  2 Ni 2.52-2.75
76 I 0.9068 0.3797 0.5864  2 Ni 2.52-2.75
77 I 0.9136 0.1203 0.5932  2 Ni 2.52-2.75
78 I 0.9136 0.2933 0.3204  2 Ni 2.52-2.75
79 I 0.9730 0.6796 0.0932  2 Ni 2.52-2.75
80 I 0.9730 0.7933 0.8797  2 Ni 2.52-2.75

## Properties
**Formation energy (no corrections)**: 0.043 eV per atom
**SG**: Ia-3d (230)

---

[3]
# TmU4Se7

A relaxed structure of TmU4Se7 (PBE, Alexandria via LeMat-Bulk).

Cell lengths 4.0313, 4.0313, 23.9019 Å; angles 90.00, 90.00, 120.00 degrees
Last column: nearest neighbours and their distance in Å.
Element x y z (fractional)
1 Tm 0.0000 0.0000 0.0000  6 Se 2.84
2 U 0.3333 0.6667 0.1423  6 Se 2.82-2.93
3 U 0.3333 0.6667 0.4274  6 Se 2.82-2.90
4 U 0.6667 0.3333 0.5726  6 Se 2.82-2.90
5 U 0.6667 0.3333 0.8577  6 Se 2.82-2.93
6 Se 0.0000 0.0000 0.2087  3 U 2.82
7 Se 0.0000 0.0000 0.5000  6 U 2.90
8 Se 0.0000 0.0000 0.7913  3 U 2.82
9 Se 0.3333 0.6667 0.6393  3 U 2.82
10 Se 0.3333 0.6667 0.9322  3 Tm 2.84, 3 U 2.93
11 Se 0.6667 0.3333 0.0678  3 Tm 2.84, 3 U 2.93
12 Se 0.6667 0.3333 0.3607  3 U 2.82

## Properties
**Formation energy (no corrections)**: -1.182 eV per atom
**SG**: P-3m1 (164)

---

[4]
# Na2CaO2

A relaxed structure of Na2CaO2 (PBE, Alexandria via LeMat-Bulk).

Cell lengths 6.4606, 6.4606, 3.4419 Å; angles 90.00, 90.00, 90.00 degrees
Last column: nearest neighbours and their distance in Å.
Element x y z (fractional)
1 Na 0.1271 0.3729 0.0000  1 Na 2.32, 2 O 2.39
2 Na 0.3729 0.8729 0.0000  1 Na 2.32, 2 O 2.39
3 Na 0.6271 0.1271 0.0000  1 Na 2.32, 2 O 2.39
4 Na 0.8729 0.6271 0.0000  1 Na 2.32, 2 O 2.39
5 Ca 0.0000 0.0000 0.5000  4 O 2.35
6 Ca 0.5000 0.5000 0.5000  4 O 2.35
7 O 0.1919 0.6919 0.5000  2 Ca 2.35, 2 Na 2.39
8 O 0.3081 0.1919 0.5000  2 Ca 2.35, 2 Na 2.39
9 O 0.6919 0.8081 0.5000  2 Ca 2.35, 2 Na 2.39
10 O 0.8081 0.3081 0.5000  2 Ca 2.35, 2 Na 2.39

## Properties
**Formation energy (no corrections)**: -1.489 eV per atom
**SG**: P4/mbm (127)

---

[5]
# ErNiAs2Rh5

A relaxed structure of ErNiAs2Rh5 (PBE, Alexandria via LeMat-Bulk).

Cell lengths 4.0048, 4.0048, 11.4195 Å; angles 90.00, 90.00, 90.00 degrees
Last column: nearest neighbours and their distance in Å.
Element x y z (fractional)
1 Er 0.0000 0.0000 0.0000  12 Rh 2.83-2.88
2 Ni 0.5000 0.5000 0.5000  2 As 2.25
3 As 0.5000 0.5000 0.3027  1 Ni 2.25, 4 Rh 2.43
4 As 0.5000 0.5000 0.6973  1 Ni 2.25, 4 Rh 2.43
5 Rh 0.0000 0.5000 0.1817  2 As 2.43
6 Rh 0.0000 0.5000 0.8183  2 As 2.43
7 Rh 0.5000 0.0000 0.1817  2 As 2.43
8 Rh 0.5000 0.0000 0.8183  2 As 2.43
9 Rh 0.5000 0.5000 0.0000  4 Er 2.83, 8 Rh 2.88

## Properties
**SG**: P4/mmm (123)
**Energy relative to the elements**: -0.175 eV/atom

---

[6]
# Ac2Tl3Cu2

A relaxed structure of Ac2Tl3Cu2 (PBE, Alexandria via LeMat-Bulk).

Cell lengths 11.1611, 11.1611, 4.0635 Å; angles 90.00, 90.00, 156.91 degrees
Last column: nearest neighbours and their distance in Å.
Element x y z (fractional)
1 Ac 0.1680 0.8320 0.0000  6 Cu 3.16-3.24
2 Ac 0.8320 0.1680 0.0000  6 Cu 3.16-3.24
3 Tl 0.0000 0.0000 0.0000  8 Tl 3.43, 2 Ac 3.67
4 Tl 0.4252 0.5748 0.5000  1 Cu 3.21, 5 Tl 3.27-3.43
5 Tl 0.5748 0.4252 0.5000  1 Cu 3.21, 5 Tl 3.27-3.43
6 Cu 0.2786 0.7214 0.5000  2 Cu 2.56
7 Cu 0.7214 0.2786 0.5000  2 Cu 2.56

## Properties
**SG**: Cmmm (65)
**Energy relative to the elements**: -0.180 eV/atom

---

[7]
# Li3YAs2

A relaxed structure of Li3YAs2 (PBE, Alexandria via LeMat-Bulk).

Cell lengths 8.3889, 8.3889, 10.1168 Å; angles 100.82, 100.82, 27.74 degrees
Last column: nearest neighbours and their distance in Å.
Element x y z (fractional)
1 Li 0.0000 0.0000 0.0000  2 As 2.32
2 Li 0.1227 0.1227 0.7324  4 As 2.55-2.68, 3 Li 2.67-2.80
3 Li 0.1826 0.1826 0.4907  4 As 2.57-2.67, 1 Li 2.80
4 Li 0.2904 0.2904 0.0915  4 As 2.42-2.57, 1 Li 2.57
5 Li 0.4507 0.4507 0.1603  5 Li 2.57-2.80, 4 As 2.79-2.82
6 Li 0.5493 0.5493 0.8397  5 Li 2.57-2.80, 4 As 2.79-2.82
7 Li 0.7096 0.7096 0.9085  4 As 2.42-2.57, 1 Li 2.57
8 Li 0.8174 0.8174 0.5093  4 As 2.57-2.67, 1 Li 2.80
9 Li 0.8773 0.8773 0.2676  4 As 2.55-2.68, 3 Li 2.67-2.80
10 Y 0.3346 0.3346 0.7807  6 As 2.99-3.13, 2 Li 3.30
11 Y 0.5000 0.5000 0.5000  6 As 2.96-3.25
12 Y 0.6654 0.6654 0.2193  6 As 2.99-3.13, 2 Li 3.30
13 As 0.0448 0.0448 0.3109  4 Li 2.60-2.79
14 As 0.1423 0.1423 0.9969  4 Li 2.32-2.53
15 As 0.3051 0.3051 0.3492  6 Li 2.55-2.67
16 As 0.6949 0.6949 0.6508  6 Li 2.55-2.67
17 As 0.8577 0.8577 0.0031  4 Li 2.32-2.53
18 As 0.9552 0.9552 0.6891  4 Li 2.60-2.79

## Properties
**SG**: C2/m (12)
**Energy relative to the elements**: -0.904 eV/atom

---

[8]
# ScTiNi6

A relaxed structure of ScTiNi6 (PBE, Alexandria via LeMat-Bulk).

Cell lengths 6.3318, 6.3318, 10.3640 Å; angles 90.00, 90.00, 109.67 degrees
Last column: nearest neighbours and their distance in Å.
Element x y z (fractional)
1 Sc 0.0000 0.0000 0.2494  12 Ni 2.59-2.63
2 Sc 0.0000 0.0000 0.7506  12 Ni 2.59-2.63
3 Sc 0.2479 0.7521 0.5000  12 Ni 2.57-2.66
4 Sc 0.7521 0.2479 0.5000  12 Ni 2.57-2.66
5 Ti 0.2485 0.7515 0.0000  12 Ni 2.53-2.60
6 Ti 0.5000 0.5000 0.2499  12 Ni 2.53-2.59
7 Ti 0.5000 0.5000 0.7501  12 Ni 2.53-2.59
8 Ti 0.7515 0.2485 0.0000  12 Ni 2.53-2.60
9 Ni 0.0000 0.0000 0.0000  2 Ti 2.57, 2 Sc 2.59, 8 Ni 2.60
10 Ni 0.0000 0.0000 0.5000  4 Sc 2.57-2.60, 8 Ni 2.63
11 Ni 0.1282 0.3811 0.1214  8 Ni 2.52-2.62, 3 Ti 2.54-2.59, 1 Sc 2.63
12 Ni 0.1282 0.3811 0.8786  8 Ni 2.52-2.62, 3 Ti 2.54-2.59, 1 Sc 2.63
13 Ni 0.1323 0.3795 0.3710  1 Ti 2.53, 8 Ni 2.56-2.67, 3 Sc 2.59-2.63
14 Ni 0.1323 0.3795 0.6290  1 Ti 2.53, 8 Ni 2.56-2.67, 3 Sc 2.59-2.63
15 Ni 0.2531 0.7469 0.2437  8 Ni 2.52-2.65, 2 Ti 2.53-2.56, 2 Sc 2.62-2.66
16 Ni 0.2531 0.7469 0.7563  8 Ni 2.52-2.65, 2 Ti 2.53-2.56, 2 Sc 2.62-2.66
17 Ni 0.3795 0.1323 0.3710  1 Ti 2.53, 8 Ni 2.56-2.67, 3 Sc 2.59-2.63
18 Ni 0.3795 0.1323 0.6290  1 Ti 2.53, 8 Ni 2.56-2.67, 3 Sc 2.59-2.63
19 Ni 0.3811 0.1282 0.1214  8 Ni 2.52-2.62, 3 Ti 2.54-2.59, 1 Sc 2.63
20 Ni 0.3811 0.1282 0.8786  8 Ni 2.52-2.62, 3 Ti 2.54-2.59, 1 Sc 2.63
21 Ni 0.5000 0.5000 0.0000  8 Ni 2.55, 4 Ti 2.59-2.60
22 Ni 0.5000 0.5000 0.5000  8 Ni 2.57, 2 Ti 2.59, 2 Sc 2.61
23 Ni 0.6189 0.8718 0.1214  8 Ni 2.52-2.62, 3 Ti 2.54-2.59, 1 Sc 2.63
24 Ni 0.6189 0.8718 0.8786  8 Ni 2.52-2.62, 3 Ti 2.54-2.59, 1 Sc 2.63
25 Ni 0.6205 0.8677 0.3710  1 Ti 2.53, 8 Ni 2.56-2.67, 3 Sc 2.59-2.63
26 Ni 0.6205 0.8677 0.6290  1 Ti 2.53, 8 Ni 2.56-2.67, 3 Sc 2.59-2.63
27 Ni 0.7469 0.2531 0.2437  8 Ni 2.52-2.65, 2 Ti 2.53-2.56, 2 Sc 2.62-2.66
28 Ni 0.7469 0.2531 0.7563  8 Ni 2.52-2.65, 2 Ti 2.53-2.56, 2 Sc 2.62-2.66
29 Ni 0.8677 0.6205 0.3710  1 Ti 2.53, 8 Ni 2.56-2.67, 3 Sc 2.59-2.63
30 Ni 0.8677 0.6205 0.6290  1 Ti 2.53, 8 Ni 2.56-2.67, 3 Sc 2.59-2.63
31 Ni 0.8718 0.6189 0.1214  8 Ni 2.52-2.62, 3 Ti 2.54-2.59, 1 Sc 2.63
32 Ni 0.8718 0.6189 0.8786  8 Ni 2.52-2.62, 3 Ti 2.54-2.59, 1 Sc 2.63

## Properties
**SG**: Cmmm (65)
**Energy relative to the elements**: -0.445 eV/atom

---

Calculated volume: 125, 2407, 336, 144, 183, 199, 325, 391 (Å³/cell)